[1]
Here is Er3Si4Au7 after structural relaxation from Alexandria via LeMat-Bulk. Energies are from PBE-GGA.

Computed properties:
As for the uncorrected formation energy: -0.5701 eV per atom.

a = 4.2938 Å, b = 8.2231 Å, c = 8.3604 Å
α = 69.88°, β = 75.12°, γ = 74.87°
Last column: nearest neighbours and their distance in Å.
Positions (direct):
Si 0.6639 0.4490 0.2232  5 Au 2.47-2.64
Si 0.1192 0.0992 0.6624  6 Au 2.60-2.68
Si 0.8808 0.9008 0.3376  6 Au 2.60-2.68
Si 0.3361 0.5510 0.7768  5 Au 2.47-2.64
Au 0.3158 0.8300 0.5385  4 Si 2.47-2.65
Au 0.6842 0.1700 0.4615  4 Si 2.47-2.65
Au 0.8426 0.4018 0.9129  3 Si 2.54-2.64
Au 0.5056 0.7772 0.2116  3 Si 2.58-2.68, 1 Au 2.79
Au 0.4944 0.2228 0.7884  3 Si 2.58-2.68, 1 Au 2.79
Au 0.1574 0.5982 0.0871  3 Si 2.54-2.64
Au 0.0000 0.0000 0.0000  2 Si 2.60
Er 0.3143 0.1875 0.1840  4 Si 3.07-3.11, 10 Au 3.08-3.38
Er 0.0000 0.5000 0.5000  6 Si 3.06-3.21, 2 Au 3.19
Er 0.6857 0.8125 0.8160  4 Si 3.07-3.11, 10 Au 3.08-3.38

***

[2]
Here is Er2Si3Au2 after structural relaxation from Alexandria via LeMat-Bulk. Energies are from PBE-GGA.

Computed properties:
As for the uncorrected formation energy: -0.6530 eV per atom.

a = 4.2443 Å, b = 6.9264 Å, c = 9.2738 Å
α = 90.00°, β = 103.23°, γ = 90.00°
Last column: nearest neighbours and their distance in Å.
Positions (direct):
Er 0.1514 0.2500 0.3027  6 Si 2.98-3.10, 6 Au 3.02-3.28
Er 0.8486 0.7500 0.6973  6 Si 2.98-3.10, 6 Au 3.02-3.28
Er 0.9501 0.2500 0.9002  9 Si 3.10-3.13
Er 0.0499 0.7500 0.0998  9 Si 3.10-3.13
Au 0.6847 0.5477 0.3693  4 Si 2.47-2.65
Au 0.3153 0.4523 0.6307  4 Si 2.47-2.65
Au 0.3153 0.0477 0.6307  4 Si 2.47-2.65
Au 0.6847 0.9523 0.3693  4 Si 2.47-2.65
Si 0.7768 0.2500 0.5536  6 Au 2.64-2.65
Si 0.5564 0.0778 0.1127  2 Si 2.30-2.39, 1 Au 2.47
Si 0.4436 0.9222 0.8873  2 Si 2.30-2.39, 1 Au 2.47
Si 0.5564 0.4222 0.1127  2 Si 2.30-2.39, 1 Au 2.47
Si 0.2232 0.7500 0.4464  6 Au 2.64-2.65
Si 0.4436 0.5778 0.8873  2 Si 2.30-2.39, 1 Au 2.47

***

[3]
Here is Er2Si2Au3 after structural relaxation from Alexandria via LeMat-Bulk. Energies are from PBE-GGA.

Computed properties:
As for the uncorrected formation energy: -0.6765 eV per atom.

a = 4.0631 Å, b = 5.6839 Å, c = 6.3525 Å
α = 96.52°, β = 90.00°, γ = 110.94°
Last column: nearest neighbours and their distance in Å.
Positions (direct):
Si 0.0820 0.1639 0.6447  1 Si 2.37, 3 Au 2.52-2.60
Si 0.9180 0.8361 0.3553  1 Si 2.37, 3 Au 2.52-2.60
Au 0.6911 0.3822 0.8465  2 Si 2.60
Au 0.0000 0.0000 0.0000  2 Si 2.52
Au 0.3089 0.6178 0.1535  2 Si 2.60
Er 0.3679 0.7358 0.6725  5 Si 2.96-3.07, 6 Au 3.06-3.28
Er 0.6321 0.2642 0.3275  5 Si 2.96-3.07, 6 Au 3.06-3.28

***

[4]
Here is ErSi3Au3 after structural relaxation from Alexandria via LeMat-Bulk. Energies are from PBE-GGA.

Computed properties:
As for the uncorrected formation energy: 0.0687 eV per atom.

a = 6.8006 Å, b = 6.8006 Å, c = 6.8006 Å
α = 90.00°, β = 90.00°, γ = 90.00°
Last column: nearest neighbours and their distance in Å.
Positions (direct):
Si 0.7500 0.0000 0.5000  4 Au 2.40
Si 0.0000 0.5000 0.2500  4 Au 2.40
Si 0.5000 0.7500 0.0000  4 Au 2.40
Si 0.5000 0.2500 0.0000  4 Au 2.40
Si 0.2500 0.0000 0.5000  4 Au 2.40
Si 0.0000 0.5000 0.7500  4 Au 2.40
Au 0.0000 0.7500 0.5000  4 Si 2.40
Au 0.0000 0.2500 0.5000  4 Si 2.40
Au 0.5000 0.0000 0.7500  4 Si 2.40
Au 0.7500 0.5000 0.0000  4 Si 2.40
Au 0.5000 0.0000 0.2500  4 Si 2.40
Au 0.2500 0.5000 0.0000  4 Si 2.40
Er 0.0000 0.0000 0.0000  12 Au 3.80, 12 Si 3.80
Er 0.5000 0.5000 0.5000  12 Si 3.80, 12 Au 3.80

***

[5]
Here is Er2Si2Au after structural relaxation from Alexandria via LeMat-Bulk. Energies are from PBE-GGA.

Computed properties:
As for the uncorrected formation energy: -0.7970 eV per atom.

a = 6.8487 Å, b = 6.8487 Å, c = 8.5087 Å
α = 90.00°, β = 90.00°, γ = 90.00°
Last column: nearest neighbours and their distance in Å.
Positions (direct):
Si 0.3765 0.8765 0.7500  1 Si 2.39
Si 0.1235 0.3765 0.7500  1 Si 2.39
Si 0.8765 0.6235 0.2500  1 Si 2.39
Si 0.6235 0.1235 0.7500  1 Si 2.39
Si 0.6235 0.1235 0.2500  1 Si 2.39
Si 0.1235 0.3765 0.2500  1 Si 2.39
Si 0.3765 0.8765 0.2500  1 Si 2.39
Si 0.8765 0.6235 0.7500  1 Si 2.39
Er 0.1752 0.6752 0.0000  6 Si 2.89-2.97
Er 0.8248 0.3248 0.0000  6 Si 2.89-2.97
Er 0.3248 0.1752 0.5000  6 Si 2.89-2.97
Er 0.6752 0.8248 0.5000  6 Si 2.89-2.97
Er 0.8248 0.3248 0.5000  6 Si 2.89-2.97
Er 0.1752 0.6752 0.5000  6 Si 2.89-2.97
Er 0.3248 0.1752 0.0000  6 Si 2.89-2.97
Er 0.6752 0.8248 0.0000  6 Si 2.89-2.97
Au 0.0000 0.0000 0.7500  4 Si 2.71
Au 0.5000 0.5000 0.2500  4 Si 2.71
Au 0.5000 0.5000 0.7500  4 Si 2.71
Au 0.0000 0.0000 0.2500  4 Si 2.71

***

[6]
Here is Sr2ErSi3Au12 after structural relaxation from Alexandria via LeMat-Bulk. Energies are from PBE-GGA.

Computed properties:
As for the uncorrected formation energy: -0.2024 eV per atom.

a = 8.2060 Å, b = 8.2060 Å, c = 8.2060 Å
α = 65.89°, β = 65.89°, γ = 65.89°
Last column: nearest neighbours and their distance in Å.
Positions (direct):
Si 0.5000 0.0000 0.0000  6 Au 2.46-2.47
Si 0.0000 0.0000 0.5000  6 Au 2.46-2.47
Si 0.0000 0.5000 0.0000  6 Au 2.46-2.47
Au 0.8615 0.3913 0.8615  1 Si 2.47
Au 0.8615 0.8615 0.3913  1 Si 2.47
Au 0.1364 0.6864 0.6864  2 Si 2.46
Au 0.6864 0.6864 0.1364  2 Si 2.46
Au 0.3136 0.3136 0.8636  2 Si 2.46
Au 0.3913 0.8615 0.8615  1 Si 2.47
Au 0.6864 0.1364 0.6864  2 Si 2.46
Au 0.8636 0.3136 0.3136  2 Si 2.46
Au 0.1385 0.6087 0.1385  1 Si 2.47
Au 0.3136 0.8636 0.3136  2 Si 2.46
Au 0.6087 0.1385 0.1385  1 Si 2.47
Au 0.1385 0.1385 0.6087  1 Si 2.47
Er 0.0000 0.0000 0.0000  6 Au 2.83
Sr 0.4010 0.4010 0.4010  9 Au 3.16-3.44
Sr 0.5990 0.5990 0.5990  9 Au 3.16-3.44

***

[7]
Here is TbErSiAu after structural relaxation from Alexandria via LeMat-Bulk. Energies are from PBE-GGA.

Computed properties:
As for the uncorrected formation energy: -0.6594 eV per atom.

a = 5.0353 Å, b = 5.0353 Å, c = 5.0353 Å
α = 60.00°, β = 60.00°, γ = 60.00°
Last column: nearest neighbours and their distance in Å.
Positions (direct):
Er 0.5000 0.5000 0.5000  4 Si 3.08, 4 Au 3.08
Au 0.2500 0.2500 0.2500  4 Er 3.08, 4 Tb 3.08
Tb 0.0000 0.0000 0.0000  4 Si 3.08, 4 Au 3.08
Si 0.7500 0.7500 0.7500  4 Tb 3.08, 4 Er 3.08

***

[8]
Here is Er8Si3Te4Au after structural relaxation from Alexandria via LeMat-Bulk. Energies are from PBE-GGA.

Computed properties:
As for the uncorrected formation energy: -1.0445 eV per atom.

a = 8.3864 Å, b = 8.5381 Å, c = 8.3874 Å
α = 119.41°, β = 120.00°, γ = 90.00°
Last column: nearest neighbours and their distance in Å.
Positions (direct):
Au 0.0000 0.5000 0.0000  6 Er 2.94
Te 0.0000 0.0000 0.5000  6 Er 3.14
Te 0.0000 0.0000 0.0000  6 Er 3.14
Te 0.5000 0.0000 0.0000  6 Er 3.06
Te 0.5000 0.0000 0.5000  6 Er 3.14
Er 0.7546 0.2784 0.0239  2 Si 2.85, 1 Au 2.94, 3 Te 3.06-3.14
Er 0.2612 0.2834 0.5223  3 Si 2.86, 3 Te 3.14
Er 0.7307 0.7216 0.9761  2 Si 2.85, 1 Au 2.94, 3 Te 3.06-3.14
Er 0.2454 0.7216 0.9761  2 Si 2.85, 1 Au 2.94, 3 Te 3.06-3.14
Er 0.7546 0.2785 0.5093  2 Si 2.85, 1 Au 2.94, 3 Te 3.06-3.14
Er 0.2454 0.7215 0.4907  2 Si 2.85, 1 Au 2.94, 3 Te 3.06-3.14
Er 0.7388 0.7166 0.4777  3 Si 2.86, 3 Te 3.14
Er 0.2693 0.2784 0.0239  2 Si 2.85, 1 Au 2.94, 3 Te 3.06-3.14
Si 0.0000 0.5000 0.5000  6 Er 2.85-2.86
Si 0.5000 0.5000 0.0000  6 Er 2.85-2.86
Si 0.5000 0.5000 0.5000  6 Er 2.85-2.86

***

[9]
Here is ErTl2Si2Au7 after structural relaxation from Alexandria via LeMat-Bulk. Energies are from PBE-GGA.

Computed properties:
As for the uncorrected formation energy: -0.2259 eV per atom.

a = 4.5795 Å, b = 4.5795 Å, c = 13.0256 Å
α = 86.53°, β = 86.53°, γ = 93.55°
Last column: nearest neighbours and their distance in Å.
Positions (direct):
Si 0.6088 0.6088 0.7747  5 Au 2.40-2.55
Si 0.3912 0.3912 0.2253  5 Au 2.40-2.55
Au 0.5213 0.0769 0.8460  2 Si 2.43-2.55
Au 0.5872 0.5872 0.5915  1 Si 2.40
Au 0.4128 0.4128 0.4085  1 Si 2.40
Au 0.0769 0.5213 0.8460  2 Si 2.43-2.55
Au 0.5000 0.5000 0.0000  8 Au 2.87-3.21, 2 Si 2.95, 2 Er 3.14
Au 0.4787 0.9231 0.1540  2 Si 2.43-2.55
Au 0.9231 0.4787 0.1540  2 Si 2.43-2.55
Tl 0.9015 0.9015 0.3755  5 Au 3.06-3.37
Tl 0.0985 0.0985 0.6245  5 Au 3.06-3.37
Er 0.0000 0.0000 0.0000  12 Au 3.01-3.34

***

[10]
Here is ErTmSiAu after structural relaxation from Alexandria via LeMat-Bulk. Energies are from PBE-GGA.

Computed properties:
As for the uncorrected formation energy: -0.6612 eV per atom.

a = 4.9887 Å, b = 4.9887 Å, c = 4.9887 Å
α = 60.00°, β = 60.00°, γ = 60.00°
Last column: nearest neighbours and their distance in Å.
Positions (direct):
Tm 0.5000 0.5000 0.5000  4 Si 3.05, 4 Au 3.05
Er 0.0000 0.0000 0.0000  4 Au 3.05, 4 Si 3.05
Si 0.7500 0.7500 0.7500  4 Er 3.05, 4 Tm 3.05
Au 0.2500 0.2500 0.2500  4 Tm 3.05, 4 Er 3.05

***

[11]
Here is Sm4Er3Au4 after structural relaxation from Alexandria via LeMat-Bulk. Energies are from PBE-GGA.

Computed properties:
Its energy of formation is -5.9 eV per formula unit.

a = 3.7518 Å, b = 9.2566 Å, c = 9.9631 Å
α = 117.68°, β = 100.85°, γ = 90.00°
Last column: nearest neighbours and their distance in Å.
Positions (direct):
Sm 0.6609 0.4761 0.3219  4 Au 3.05-3.22
Sm 0.6609 0.8458 0.3219  4 Au 3.05-3.22
Sm 0.3391 0.5239 0.6781  4 Au 3.05-3.22
Sm 0.3391 0.1542 0.6781  4 Au 3.05-3.22
Er 0.8990 0.8990 0.7979  6 Au 3.04-3.05
Er 0.1010 0.1010 0.2021  6 Au 3.04-3.05
Er 0.0000 0.5000 0.0000  4 Au 3.51, 2 Er 3.75, 8 Sm 3.76
Au 0.5000 0.8206 0.0000  2 Sm 3.05, 4 Er 3.05, 1 Au 3.32
Au 0.2605 0.7605 0.5210  2 Er 3.04, 6 Sm 3.06-3.22
Au 0.7395 0.2395 0.4790  2 Er 3.04, 6 Sm 3.06-3.22
Au 0.5000 0.1794 0.0000  2 Sm 3.05, 4 Er 3.05, 1 Au 3.32